Crystalline ReTe3Mo at its relaxed geometry. Source: Alexandria via LeMat-Bulk, functional PBE.

Results
calculated volume = 147.0 Å³/f.u.
formation energy without anion corrections = 1.5091 eV/atom
magnetization = 3.87 μB/f.u.

a = 5.278 Å, b = 5.278 Å, c = 5.278 Å
α = 90.00°, β = 90.00°, γ = 90.00°
Space group Pm-3m (No. 221)
Asymmetric unit:
Re1 0.000 0.000 0.000 [1 per cell]
Te1 0.000 0.500 0.500 [3 per cell]
Mo1 0.500 0.500 0.500 [1 per cell]